Entry 1:
First-principles (GGA-PBE) data for a geometry-optimized Er5ThRu3 structure, as listed in Alexandria.

Properties
- Total magnetic moment: 0.0 μB/cell
- Electronic total energy: -6.72 eV per atom
- Calculated volume: 507 Å³/cell
- E_form: -0.269 eV per atom

Cell: 7.610 7.610 9.902 Å, 72.15 72.15 73.07°
Positions (direct):
Er 0.305 0.695 0.000
Er 0.566 0.566 0.634
Er 0.968 0.368 0.328
Er 0.434 0.434 0.366
Th 0.103 0.103 0.700
Ru 0.000 0.000 0.500
Th 0.897 0.897 0.300
Ru 0.667 0.667 0.831
Er 0.032 0.632 0.672
Ru 0.326 0.326 0.667
Er 0.695 0.305 0.000
Er 0.234 0.234 0.969
Ru 0.674 0.674 0.333
Er 0.368 0.968 0.328
Ru 0.333 0.333 0.169
Ru 0.000 0.000 0.000
Er 0.632 0.032 0.672
Er 0.766 0.766 0.031

---

Entry 2:
First-principles (GGA-PBE) data for a geometry-optimized Er2ThRu3 structure, as listed in Alexandria.

Properties
- Total magnetic moment: 0.0 μB/cell
- Distance to the lowest polymorph of the same formula: 422 meV per atom
- Electronic total energy: -7.44 eV per atom
- Calculated volume: 129 Å³/cell
- E_form: -0.044 eV per atom

Cell: 3.393 5.570 7.578 Å, 111.56 102.94 90.00°
Positions (direct):
Ru 0.663 0.663 0.325
Ru 0.337 0.337 0.675
Er 0.665 0.165 0.331
Th 0.000 0.500 0.000
Ru 0.000 0.000 0.000
Er 0.335 0.835 0.669

---

Entry 3:
First-principles (GGA-PBE) data for a geometry-optimized Er3Th2Ru2 structure, as listed in Alexandria.

Properties
- Total magnetic moment: 0.0 μB/cell
- Electronic total energy: -7.09 eV per atom
- Calculated volume: 185 Å³/cell
- E_form: -0.360 eV per atom

Cell: 3.806 6.249 8.717 Å, 100.96 102.57 107.65°
Positions (direct):
Ru 0.047 0.858 0.236
Ru 0.953 0.142 0.764
Er 0.198 0.817 0.579
Er 0.802 0.183 0.421
Er 0.500 0.000 0.000
Th 0.639 0.474 0.805
Th 0.361 0.526 0.195

---

Entry 4:
First-principles (GGA-PBE) data for a geometry-optimized ErThTlRu structure, as listed in Alexandria.

Properties
- Total magnetic moment: 0.0 μB/cell
- Electronic total energy: -6.30 eV per atom
- Calculated volume: 98 Å³/cell
- E_form: -0.390 eV per atom

Cell: 3.417 3.417 8.430 Å, 90.00 90.00 90.00°
Positions (direct):
Tl 0.000 0.000 0.082
Ru 0.000 0.000 0.563
Th 0.500 0.500 0.776
Er 0.500 0.500 0.364

---

Entry 5:
First-principles (GGA-PBE) data for a geometry-optimized ErTm2ThRu4 structure, as listed in Alexandria.

Properties
- Total magnetic moment: 0.0 μB/cell
- Electronic total energy: -7.74 eV per atom
- Calculated volume: 158 Å³/cell
- E_form: -0.488 eV per atom

Cell: 4.821 4.821 8.318 Å, 73.16 73.16 60.00°
Positions (direct):
Ru 0.873 0.873 0.380
Ru 0.377 0.377 0.868
Ru 0.127 0.127 0.620
Tm 0.746 0.746 0.763
Er 0.000 0.000 0.000
Th 0.500 0.500 0.500
Tm 0.254 0.254 0.237
Ru 0.623 0.623 0.132

---

Entry 6:
First-principles (GGA-PBE) data for a geometry-optimized ErTi2Ru3 structure, as listed in Alexandria.

Properties
- Total magnetic moment: 0.0 μB/cell
- Electronic total energy: -8.65 eV per atom
- Calculated volume: 96 Å³/cell
- E_form: -0.620 eV per atom

Cell: 3.154 3.154 9.689 Å, 90.00 90.00 90.00°
Positions (direct):
Ti 0.500 0.500 0.160
Er 0.500 0.500 0.500
Ru 0.000 0.000 0.000
Ti 0.500 0.500 0.840
Ru 0.000 0.000 0.692
Ru 0.000 0.000 0.308

---

Entry 7:
First-principles (GGA-PBE) data for a geometry-optimized ErTiRu structure, as listed in Alexandria.

Properties
- Total magnetic moment: 1.0 μB/cell
- Electronic total energy: -7.54 eV per atom
- Calculated volume: 58 Å³/cell
- E_form: -0.300 eV per atom

Cell: 3.233 3.233 5.965 Å, 105.73 105.73 90.00°
Last column: magnetic moment on the atom in μB.
Positions (direct):
Ru 0.686 0.686 0.371  0.03
Ti 0.302 0.302 0.604  0.52
Er 0.012 0.012 0.025  0.29

---

Entry 8:
First-principles (GGA-PBE) data for a geometry-optimized Er4TiRu5 structure, as listed in Alexandria.

Properties
- Total magnetic moment: 0.0 μB/cell
- Electronic total energy: -7.68 eV per atom
- Calculated volume: 182 Å³/cell
- E_form: -0.428 eV per atom

Cell: 3.295 3.295 16.730 Å, 90.00 90.00 90.00°
Positions (direct):
Ti 0.000 0.000 0.000
Er 0.000 0.000 0.602
Er 0.000 0.000 0.398
Ru 0.500 0.500 0.914
Ru 0.500 0.500 0.706
Ru 0.500 0.500 0.086
Er 0.000 0.000 0.194
Ru 0.500 0.500 0.294
Er 0.000 0.000 0.806
Ru 0.500 0.500 0.500

---

Entry 9:
First-principles (GGA-PBE) data for a geometry-optimized ErTiRu4 structure, as listed in Alexandria.

Properties
- Total magnetic moment: 0.0 μB/cell
- Electronic total energy: -8.47 eV per atom
- Calculated volume: 99 Å³/cell
- E_form: -0.212 eV per atom

Cell: 5.200 5.200 5.200 Å, 60.00 60.00 60.00°
Positions (direct):
Ru 0.625 0.124 0.625
Ru 0.625 0.625 0.124
Ru 0.124 0.625 0.625
Ru 0.625 0.625 0.625
Er 0.250 0.250 0.250
Ti 0.000 0.000 0.000

---

Entry 10:
First-principles (GGA-PBE) data for a geometry-optimized ErTiRu2 structure, as listed in Alexandria.

Properties
- Total magnetic moment: 0.0 μB/cell
- Electronic total energy: -8.29 eV per atom
- Calculated volume: 67 Å³/cell
- E_form: -0.541 eV per atom

Cell: 3.195 3.195 6.586 Å, 90.00 90.00 90.00°
Positions (direct):
Ru 0.000 0.000 0.777
Ti 0.500 0.500 0.000
Er 0.500 0.500 0.500
Ru 0.000 0.000 0.223

---

Entry 11:
First-principles (GGA-PBE) data for a geometry-optimized ErTiRu2 structure, as listed in Alexandria.

Properties
- Total magnetic moment: 0.0 μB/cell
- Electronic total energy: -8.21 eV per atom
- Calculated volume: 67 Å³/cell
- E_form: -0.461 eV per atom

Cell: 3.225 4.565 4.565 Å, 90.00 90.00 90.00°
Positions (direct):
Er 0.500 0.500 0.500
Ru 0.000 0.000 0.500
Ru 0.000 0.500 0.000
Ti 0.500 0.000 0.000

---

Entry 12:
First-principles (GGA-PBE) data for a geometry-optimized Er3TlRu2 structure, as listed in Alexandria.

Properties
- Total magnetic moment: 0.0 μB/cell
- Electronic total energy: -6.21 eV per atom
- Calculated volume: 132 Å³/cell
- E_form: -0.445 eV per atom

Cell: 3.411 3.411 11.306 Å, 90.00 90.00 90.00°
Positions (direct):
Ru 0.500 0.500 0.153
Er 0.000 0.000 0.291
Ru 0.500 0.500 0.847
Er 0.000 0.000 0.709
Er 0.000 0.000 0.000
Tl 0.500 0.500 0.500

---

Entry 13:
First-principles (GGA-PBE) data for a geometry-optimized Er8Tl2Ru structure, as listed in Alexandria.

Properties
- Total magnetic moment: 0.0 μB/cell
- Electronic total energy: -4.81 eV per atom
- Calculated volume: 301 Å³/cell
- E_form: -0.222 eV per atom

Cell: 5.354 6.935 9.144 Å, 111.16 107.02 90.00°
Positions (direct):
Er 0.406 0.586 0.812
Er 0.356 0.069 0.713
Er 0.644 0.931 0.287
Er 0.986 0.220 0.971
Er 0.014 0.780 0.029
Tl 0.181 0.699 0.363
Er 0.594 0.414 0.188
Tl 0.819 0.301 0.637
Er 0.805 0.734 0.611
Er 0.195 0.266 0.389
Ru 0.500 0.000 0.000

---

Entry 14:
First-principles (GGA-PBE) data for a geometry-optimized Er6TlRu structure, as listed in Alexandria.

Properties
- Total magnetic moment: 0.0 μB/cell
- Distance to the lowest polymorph of the same formula: 72 meV per atom
- Electronic total energy: -4.91 eV per atom
- Calculated volume: 243 Å³/cell
- E_form: -0.028 eV per atom

Cell: 6.422 6.422 6.279 Å, 99.31 99.31 103.30°
Positions (direct):
Tl 0.000 0.000 0.000
Er 0.577 0.200 0.210
Er 0.800 0.423 0.790
Er 0.219 0.219 0.644
Ru 0.500 0.500 0.500
Er 0.200 0.577 0.210
Er 0.781 0.781 0.356
Er 0.423 0.800 0.790

---

Entry 15:
First-principles (GGA-PBE) data for a geometry-optimized Er6Tl3Ru structure, as listed in Alexandria.

Properties
- Total magnetic moment: 0.0 μB/cell
- Electronic total energy: -4.66 eV per atom
- Calculated volume: 537 Å³/cell
- E_form: -0.283 eV per atom

Cell: 5.170 8.945 11.608 Å, 90.00 90.00 90.00°
Positions (direct):
Er 0.500 0.847 0.082
Ru 0.500 0.500 0.500
Er 0.000 0.308 0.082
Er 0.000 0.989 0.236
Ru 0.000 0.000 0.000
Tl 0.000 0.000 0.500
Er 0.000 0.347 0.418
Er 0.500 0.808 0.418
Tl 0.500 0.155 0.265
Er 0.500 0.489 0.264
Tl 0.500 0.500 0.000
Er 0.000 0.692 0.918
Er 0.500 0.511 0.736
Tl 0.000 0.655 0.235
Er 0.500 0.192 0.582
Tl 0.500 0.845 0.735
Er 0.000 0.011 0.764
Er 0.500 0.153 0.918
Tl 0.000 0.345 0.765
Er 0.000 0.653 0.582

---

Entry 16:
First-principles (GGA-PBE) data for a geometry-optimized Er8Tl2Ru3 structure, as listed in Alexandria.

Properties
- Total magnetic moment: 0.0 μB/cell
- Electronic total energy: -5.59 eV per atom
- Calculated volume: 345 Å³/cell
- E_form: -0.278 eV per atom

Cell: 4.909 9.775 8.679 Å, 124.12 90.00 90.00°
Positions (direct):
Er 0.500 0.642 0.778
Er 0.000 0.389 0.778
Tl 0.500 0.746 0.493
Er 0.000 0.113 0.225
Er 0.000 0.887 0.775
Ru 0.500 0.000 0.000
Tl 0.500 0.254 0.507
Ru 0.000 0.751 0.000
Er 0.000 0.611 0.222
Er 0.500 0.865 0.223
Er 0.500 0.135 0.777
Ru 0.000 0.249 0.000
Er 0.500 0.358 0.222

---

Entry 17:
First-principles (GGA-PBE) data for a geometry-optimized Er7TlRu2 structure, as listed in Alexandria.

Properties
- Total magnetic moment: 0.0 μB/cell
- Electronic total energy: -5.40 eV per atom
- Calculated volume: 308 Å³/cell
- E_form: -0.118 eV per atom

Cell: 5.206 8.050 8.050 Å, 113.98 90.00 90.00°
Positions (direct):
Ru 0.500 0.699 0.301
Er 0.500 0.053 0.319
Er 0.000 0.718 0.282
Tl 0.000 0.000 0.000
Er 0.500 0.681 0.947
Er 0.500 0.500 0.500
Ru 0.500 0.301 0.699
Er 0.500 0.947 0.681
Er 0.000 0.282 0.718
Er 0.500 0.319 0.053

---

Entry 18:
First-principles (GGA-PBE) data for a geometry-optimized Er8TlRu2 structure, as listed in Alexandria.

Properties
- Total magnetic moment: 0.0 μB/cell
- Distance to the lowest polymorph of the same formula: 6 meV per atom
- Electronic total energy: -5.47 eV per atom
- Calculated volume: 285 Å³/cell
- E_form: -0.247 eV per atom

Cell: 5.231 6.887 9.014 Å, 112.44 106.85 90.01°
Positions (direct):
Tl 0.136 0.983 0.909
Er 0.526 0.706 0.688
Er 0.636 0.279 0.909
Er 0.924 0.431 0.485
Ru 0.464 0.279 0.566
Er 0.137 0.552 0.909
Er 0.305 0.352 0.247
Er 0.747 0.927 0.130
Er 0.348 0.855 0.333
Ru 0.807 0.622 0.252
Er 0.967 0.015 0.571

---

Entry 19:
First-principles (GGA-PBE) data for a geometry-optimized Er2TlRu structure, as listed in Alexandria.

Properties
- Total magnetic moment: 0.0 μB/cell
- Distance to the lowest polymorph of the same formula: 3 meV per atom
- Electronic total energy: -5.46 eV per atom
- Calculated volume: 91 Å³/cell
- E_form: -0.270 eV per atom

Cell: 3.627 4.998 4.998 Å, 90.00 90.00 90.00°
Positions (direct):
Er 0.000 0.500 0.000
Tl 0.500 0.000 0.000
Ru 0.500 0.500 0.500
Er 0.000 0.000 0.500

---

Entry 20:
First-principles (GGA-PBE) data for a geometry-optimized Er2TlRu structure, as listed in Alexandria.

Properties
- Total magnetic moment: 0.0 μB/cell
- Distance to the lowest polymorph of the same formula: 0 meV per atom
- Electronic total energy: -5.47 eV per atom
- Calculated volume: 90 Å³/cell
- E_form: -0.274 eV per atom

Cell: 5.038 5.038 5.038 Å, 60.00 60.00 60.00°
Positions (direct):
Er 0.750 0.750 0.750
Ru 0.500 0.500 0.500
Er 0.250 0.250 0.250
Tl 0.000 0.000 0.000

---

Entry 21:
First-principles (GGA-PBE) data for a geometry-optimized Er8TlRu2 structure, as listed in Alexandria.

Properties
- Total magnetic moment: 0.0 μB/cell
- Distance to the lowest polymorph of the same formula: 0 meV per atom
- Electronic total energy: -5.47 eV per atom
- Calculated volume: 297 Å³/cell
- E_form: -0.253 eV per atom

Cell: 5.409 7.832 7.832 Å, 112.64 97.58 97.58°
Positions (direct):
Er 0.921 0.668 0.935
Er 0.500 0.247 0.753
Er 0.700 0.385 0.385
Er 0.500 0.753 0.247
Er 0.300 0.615 0.615
Er 0.079 0.065 0.332
Er 0.079 0.332 0.065
Ru 0.000 0.314 0.686
Er 0.921 0.935 0.668
Tl 0.500 0.000 0.000
Ru 0.000 0.686 0.314

---

Entry 22:
First-principles (GGA-PBE) data for a geometry-optimized Er12TlRu6 structure, as listed in Alexandria.

Properties
- Total magnetic moment: 0.0 μB/cell
- Electronic total energy: -6.25 eV per atom
- Calculated volume: 464 Å³/cell
- E_form: -0.312 eV per atom

Cell: 8.445 8.445 8.445 Å, 109.47 109.47 109.47°
Positions (direct):
Ru 0.500 0.875 0.375
Er 0.194 0.296 0.490
Er 0.704 0.510 0.806
Er 0.194 0.704 0.898
Ru 0.500 0.125 0.625
Er 0.490 0.194 0.296
Ru 0.625 0.500 0.125
Ru 0.375 0.500 0.875
Er 0.296 0.102 0.806
Er 0.704 0.898 0.194
Er 0.806 0.296 0.102
Ru 0.875 0.375 0.500
Er 0.510 0.806 0.704
Er 0.806 0.704 0.510
Er 0.898 0.194 0.704
Er 0.102 0.806 0.296
Er 0.296 0.490 0.194
Tl 0.000 0.000 0.000
Ru 0.125 0.625 0.500

---

Entry 23:
First-principles (GGA-PBE) data for a geometry-optimized Er5TlRu structure, as listed in Alexandria.

Properties
- Total magnetic moment: 0.0 μB/cell
- Electronic total energy: -5.07 eV per atom
- Calculated volume: 384 Å³/cell
- E_form: -0.143 eV per atom

Cell: 5.907 5.907 11.755 Å, 77.24 77.24 77.63°
Positions (direct):
Ru 0.000 0.000 0.000
Er 0.586 0.917 0.623
Er 0.917 0.586 0.123
Er 0.206 0.547 0.564
Er 0.453 0.794 0.936
Tl 0.404 0.596 0.250
Ru 0.000 0.000 0.500
Tl 0.596 0.404 0.750
Er 0.005 0.995 0.750
Er 0.547 0.206 0.064
Er 0.083 0.414 0.877
Er 0.794 0.453 0.436
Er 0.414 0.083 0.377
Er 0.995 0.005 0.250